PrTl2I5 (PBE, relaxed); raw formation energy = -1052 meV per atom; symmetry = Pnma (62)
1.0
14.460 0.000 0.000
0.000 9.850 0.000
0.000 0.000 9.261
Pr Tl I
4 8 20
Direct
0.005 0.250 0.082
0.495 0.750 0.582
0.505 0.250 0.418
0.995 0.750 0.918
0.177 0.502 0.554
0.177 0.998 0.554
0.323 0.002 0.054
0.323 0.498 0.054
0.677 0.502 0.946
0.677 0.998 0.946
0.823 0.002 0.446
0.823 0.498 0.446
0.006 0.250 0.433
0.078 0.546 0.169
0.078 0.954 0.169
0.184 0.250 0.874
0.210 0.750 0.836
0.290 0.250 0.336
0.316 0.750 0.374
0.422 0.046 0.669
0.422 0.454 0.669
0.494 0.750 0.933
0.506 0.250 0.067
0.578 0.546 0.331
0.578 0.954 0.331
0.684 0.250 0.626
0.710 0.750 0.664
0.790 0.250 0.164
0.816 0.750 0.126
0.922 0.046 0.831
0.922 0.454 0.831
0.994 0.750 0.567